# 1
This record from Alexandria via LeMat-Bulk describes a relaxed TcAsRh2 crystal. The functional is PBE.

Cell lengths 2.8194, 4.0420, 5.2752 Å; angles 90.00, 103.49, 90.00 degrees
Sites, in units of the cell vectors:
Tc 0.0000 0.0000 0.0000
As 0.0000 0.0000 0.5000
Rh 0.3825 0.5000 0.7465
Rh 0.6175 0.5000 0.2535

Calculated values
Total DFT energy (no corrections): -30.00 eV for the cell shown
Energy of formation: -0.07 eV per atom
Magnetic moment: 0.000 μB/atom

# 2
This record from Alexandria via LeMat-Bulk describes a relaxed TcAsRh2 crystal. The functional is PBE.

Cell lengths 5.2141, 5.2141, 5.2141 Å; angles 147.19, 129.80, 61.28 degrees
Sites, in units of the cell vectors:
Tc 0.0000 0.0000 0.0000
As 0.7812 0.2812 0.5000
Rh 0.2782 0.7782 0.5000
Rh 0.5655 0.5655 0.0000

Calculated values
Total DFT energy (no corrections): -29.95 eV for the cell shown
Energy of formation: -0.06 eV per atom
Magnetic moment: 0.000 μB/atom